The following is a DFT calculation (PBE-GGA) of an optimized crystal structure of LaLuCo4.

- N(E_F): 1.5344 states/eV/atom
- ΔE_f: -132.5 meV/atom

Lattice parameters (Å, degrees): 5.108 5.108 5.108 60.00 60.00 60.00
Element x y z (fractional)
La: 0.250 0.250 0.250
Co: 0.626 0.122 0.626
Co: 0.626 0.626 0.626
Lu: 0.000 0.000 0.000
Co: 0.122 0.626 0.626
Co: 0.626 0.626 0.122


The following is a DFT calculation (PBE-GGA) of an optimized crystal structure of LaLuCoNi.

- N(E_F): 0.8253 states/eV/atom
- ΔE_f: -188.5 meV/atom

Lattice parameters (Å, degrees): 4.816 4.816 4.816 60.00 60.00 60.00
Element x y z (fractional)
Ni: 0.250 0.250 0.250
Co: 0.750 0.750 0.750
Lu: 0.000 0.000 0.000
La: 0.500 0.500 0.500


The following is a DFT calculation (PBE-GGA) of an optimized crystal structure of LaLuCoPd.

- N(E_F): 0.7167 states/eV/atom
- ΔE_f: -412.6 meV/atom

Lattice parameters (Å, degrees): 4.930 4.930 4.930 60.00 60.00 60.00
Element x y z (fractional)
Pd: 0.750 0.750 0.750
Co: 0.250 0.250 0.250
La: 0.500 0.500 0.500
Lu: 0.000 0.000 0.000


The following is a DFT calculation (PBE-GGA) of an optimized crystal structure of LaLuCoPt.

- N(E_F): 0.5882 states/eV/atom
- ΔE_f: -576.4 meV/atom

Lattice parameters (Å, degrees): 4.921 4.921 4.921 60.00 60.00 60.00
Element x y z (fractional)
Co: 0.500 0.500 0.500
Pt: 0.000 0.000 0.000
Lu: 0.250 0.250 0.250
La: 0.750 0.750 0.750


The following is a DFT calculation (PBE-GGA) of an optimized crystal structure of La2MgCo.

- N(E_F): 0.8484 states/eV/atom
- ΔE_f: -48.8 meV/atom

Lattice parameters (Å, degrees): 3.672 3.883 7.885 70.36 90.00 90.00
Element x y z (fractional)
La: 0.000 0.947 0.952
Co: 0.500 0.750 0.750
Mg: 0.500 0.250 0.250
La: 0.000 0.553 0.548


The following is a DFT calculation (PBE-GGA) of an optimized crystal structure of La2MgCo2.

- N(E_F): 1.3388 states/eV/atom
- ΔE_f: 123.0 meV/atom

Lattice parameters (Å, degrees): 3.436 3.436 10.403 80.49 80.49 90.00
Element x y z (fractional)
La: 0.368 0.368 0.264
Mg: 0.000 0.000 0.000
La: 0.632 0.632 0.736
Co: 0.750 0.250 0.500
Co: 0.250 0.750 0.500


The following is a DFT calculation (PBE-GGA) of an optimized crystal structure of LaMgCo3.

- N(E_F): 0.8373 states/eV/atom
- ΔE_f: 752.7 meV/atom
- Relative energy among the computed polymorphs: 0.0000 eV/atom

Lattice parameters (Å, degrees): 4.495 4.495 4.495 90.00 90.00 90.00
Element x y z (fractional)
Co: 0.000 0.500 0.000
Co: 0.000 0.000 0.500
Mg: 0.000 0.000 0.000
Co: 0.500 0.000 0.000
La: 0.500 0.500 0.500


The following is a DFT calculation (PBE-GGA) of an optimized crystal structure of La2MgCo.

- N(E_F): 1.2616 states/eV/atom
- ΔE_f: -41.4 meV/atom

Lattice parameters (Å, degrees): 3.558 3.558 8.351 90.00 90.00 90.23
Element x y z (fractional)
La: 0.000 0.000 0.948
Mg: 0.500 0.500 0.250
Co: 0.500 0.500 0.750
La: 0.000 0.000 0.552